KTePbO4 after structural relaxation, computed with PBE.

Unit cell a=6.239 b=6.465 c=8.113 alpha=90.00 beta=112.47 gamma=90.00
Space group P2_1/m (No. 11)
One atom of each set of equivalent atoms:
1 K 0.137 0.250 0.169
2 Te 0.314 0.250 0.741
3 Pb 0.271 0.750 0.482
4 O 0.048 0.250 0.812
5 O 0.098 0.250 0.497
6 O 0.460 0.504 0.707

Properties
theoretical density: 4.81 g/cm3
final energy: -5.111 eV per atom



K2TePb2O6 after structural relaxation, computed with PBE.

Unit cell a=6.576 b=10.190 c=6.628 alpha=90.00 beta=107.68 gamma=90.00
Space group C2/m (No. 12)
One atom of each set of equivalent atoms:
1 K 0.000 0.175 0.000
2 Te 0.000 0.000 0.500
3 Pb 0.000 0.337 0.500
4 O 0.171 0.000 0.307
5 O 0.185 0.142 0.673

Properties
theoretical density: 5.62 g/cm3
final energy: -5.124 eV per atom



KTePb2O6 after structural relaxation, computed with PBE.

Unit cell a=5.9639 b=5.9639 c=16.5539 alpha=90.00 beta=90.00 gamma=120.00
Space group R3 (No. 146, hexagonal axes)
One atom of each set of equivalent atoms:
1 K 0.0000 0.0000 0.0000
2 Te 0.0000 0.0000 0.4768
3 Pb 0.0000 0.0000 0.2702
4 Pb 0.0000 0.0000 0.7885
5 O 0.0239 0.7547 0.4004
6 O 0.0372 0.2941 0.5412

Properties
theoretical density: 6.61 g/cm3
final energy: -5.289 eV per atom



K2ThPbO4 after structural relaxation, computed with PBE.

Unit cell a=6.469 b=3.723 c=6.672 alpha=90.00 beta=108.82 gamma=90.00
Space group P2/m (No. 10)
One atom of each set of equivalent atoms:
1 K 0.000 0.000 0.000
2 K 0.500 0.500 0.000
3 Th 0.000 0.500 0.500
4 Pb 0.500 0.000 0.500
5 O 0.204 0.000 0.694
6 O 0.229 0.500 0.301

Properties
theoretical density: 6.35 g/cm3
final energy: -6.333 eV per atom



KTi3Pb2O8 after structural relaxation, computed with PBE.

Unit cell a=6.0665 b=6.0665 c=20.7874 alpha=90.00 beta=90.00 gamma=120.00
Space group R3m (No. 160, hexagonal axes)
One atom of each set of equivalent atoms:
1 K 0.0000 0.0000 0.0000
2 Ti 0.1718 0.3436 0.4595
3 Pb 0.0000 0.0000 0.2455
4 Pb 0.0000 0.0000 0.6033
5 O 0.0000 0.0000 0.4158
6 O 0.0000 0.0000 0.8483
7 O 0.0289 0.5144 0.4163
8 O 0.1821 0.3641 0.1855

Properties
theoretical density: 5.45 g/cm3
final energy: -7.416 eV per atom



KTi2PbO6 after structural relaxation, computed with PBE.

Unit cell a=10.869 b=10.248 c=6.203 alpha=90.00 beta=107.13 gamma=90.00
Space group C2/c (No. 15)
One atom of each set of equivalent atoms:
1 K 0.000 0.198 0.250
2 Ti 0.207 0.083 0.772
3 Pb 0.000 0.399 0.750
4 O 0.114 0.424 0.133
5 O 0.147 0.244 0.706
6 O 0.152 0.012 0.005

Properties
theoretical density: 4.41 g/cm3
final energy: -7.363 eV per atom